! LaW, relaxed, DFT GGA-PBE; values from VASP
&SYSTEM
  ibrav = 0, nat = 32, ntyp = 2
/
ATOMIC_SPECIES
La 138.91 La.upf
W 183.84 W.upf
CELL_PARAMETERS angstrom
-3.565 -0.505 4.492
10.212 -7.434 7.268
3.370 8.139 3.590
ATOMIC_POSITIONS crystal
La 0.000 0.000 0.664
La 0.000 0.000 0.336
La 0.250 0.750 0.586
La 0.250 0.750 0.914
La 0.000 0.500 0.164
La 0.000 0.500 0.836
La 0.250 0.250 0.086
La 0.250 0.250 0.414
La 0.500 0.000 0.164
La 0.500 0.000 0.836
La 0.750 0.750 0.086
La 0.750 0.750 0.414
La 0.500 0.500 0.664
La 0.500 0.500 0.336
La 0.750 0.250 0.586
La 0.750 0.250 0.914
W 0.000 0.082 0.000
W 0.000 0.918 0.000
W 0.250 0.668 0.250
W 0.250 0.832 0.250
W 0.000 0.582 0.500
W 0.000 0.418 0.500
W 0.250 0.168 0.750
W 0.250 0.332 0.750
W 0.500 0.082 0.500
W 0.500 0.918 0.500
W 0.750 0.668 0.750
W 0.750 0.832 0.750
W 0.500 0.582 0.000
W 0.500 0.418 0.000
W 0.750 0.168 0.250
W 0.750 0.332 0.250
! Fermi-level density of states = 28.79 states/eV per cell
! Space-group type = Fddd
! DFT formation energy = 0.61 eV/atom
! Uncorrected energy = -8.33 eV per atom
! Calculated volume = 798 Å³/cell
! Excess energy over the best structure of this formula in the dataset = 0.2620 eV per atom